# Pr3Er2Mg

A geometry-optimized Pr3Er2Mg structure (GGA-PBE, Alexandria via LeMat-Bulk).

Unit cell a=10.6614 b=10.6614 c=11.6390 alpha=120.29 beta=120.29 gamma=20.05
Last column: nearest neighbours and their distance in Å.
Fractional coordinates of all 12 atoms:
Pr1 0.0731 0.0731 0.4209  2 Mg 3.44, 1 Er 3.59, 8 Pr 3.71-3.75
Pr2 0.2514 0.2514 0.3686  2 Mg 3.40, 2 Er 3.54, 7 Pr 3.60-3.71
Pr3 0.3934 0.3934 0.2732  5 Er 3.56-3.65, 7 Pr 3.68-3.75
Pr4 0.6066 0.6066 0.7268  5 Er 3.56-3.65, 7 Pr 3.68-3.75
Pr5 0.7486 0.7486 0.6314  2 Mg 3.40, 2 Er 3.54, 7 Pr 3.60-3.71
Pr6 0.9269 0.9269 0.5791  2 Mg 3.44, 1 Er 3.59, 8 Pr 3.71-3.75
Er1 0.0580 0.0580 0.9323  4 Mg 3.30-3.32, 3 Er 3.47-3.51, 3 Pr 3.56-3.59
Er2 0.2797 0.2797 0.9141  6 Er 3.40-3.71, 1 Mg 3.46, 5 Pr 3.54-3.65
Er3 0.7203 0.7203 0.0859  6 Er 3.40-3.71, 1 Mg 3.46, 5 Pr 3.54-3.65
Er4 0.9420 0.9420 0.0677  4 Mg 3.30-3.32, 3 Er 3.47-3.51, 3 Pr 3.56-3.59
Mg1 0.4057 0.4057 0.8063  5 Er 3.30-3.46, 4 Pr 3.40-3.44
Mg2 0.5943 0.5943 0.1937  5 Er 3.30-3.46, 4 Pr 3.40-3.44

Values from the calculation:
E above lowest polymorph in meV per atom: 18.0
Fermi-level density of states in states/eV per cell: 14.81
Crystal system: monoclinic
SG: C2/m, No. 12
ΔE_f in eV per atom: 0.0047